P:
Entry from Alexandria via LeMat-Bulk: an optimized crystal structure of SrCa2TlPt (PBE).

Computed properties:
M_tot = 0.0 μB per formula unit
D(E_F) = 2.1 states/eV/cell

a b c (Å): 5.557 5.557 5.861
angles (deg): 90.00 90.00 90.00
Element x y z (fractional)
1 Sr 0.000 0.000 0.500
2 Tl 0.500 0.500 0.500
3 Ca 0.000 0.500 0.000
4 Ca 0.500 0.000 0.000
5 Pt 0.000 0.000 0.000

***

Q:
Entry from Alexandria via LeMat-Bulk: an optimized crystal structure of SrCa2TlPt (PBE).

Computed properties:
M_tot = 0.0 μB per formula unit
D(E_F) = 4.3 states/eV/cell

a b c (Å): 5.604 5.604 5.408
angles (deg): 90.00 90.00 90.00
Element x y z (fractional)
1 Sr 0.500 0.500 0.500
2 Tl 0.000 0.000 0.500
3 Ca 0.000 0.500 0.000
4 Ca 0.500 0.000 0.000
5 Pt 0.000 0.000 0.000

***

P takes first place; second place is 0.108 eV/atom up.

***

P:
Entry from Alexandria via LeMat-Bulk: an optimized crystal structure of Ca2TaPt (PBE).

Computed properties:
M_tot = 0.0 μB per formula unit
D(E_F) = 4.8 states/eV/cell

a b c (Å): 6.266 6.266 5.262
angles (deg): 65.17 65.17 32.59
Element x y z (fractional)
1 Ca 0.993 0.993 0.007
2 Ca 0.786 0.786 0.714
3 Pt 0.526 0.526 0.474
4 Ta 0.194 0.194 0.306

***

Q:
Entry from Alexandria via LeMat-Bulk: an optimized crystal structure of Ca2TaPt (PBE).

Computed properties:
M_tot = 3.5 μB per formula unit
D(E_F) = 3.9 states/eV/cell

a b c (Å): 5.085 5.085 5.085
angles (deg): 60.00 60.00 60.00
Element x y z (fractional)
1 Ca 0.250 0.250 0.250
2 Ca 0.750 0.750 0.750
3 Pt 0.500 0.500 0.500
4 Ta 0.000 0.000 0.000

***

P takes first place; second place is 0.452 eV/atom up.

***

P:
Entry from Alexandria via LeMat-Bulk: an optimized crystal structure of CaTa2Pt (PBE).

Computed properties:
M_tot = 0.0 μB per formula unit
D(E_F) = 4.3 states/eV/cell

a b c (Å): 5.632 5.632 2.828
angles (deg): 90.00 90.00 121.45
Element x y z (fractional)
1 Ca 0.500 0.000 0.500
2 Pt 0.000 0.500 0.500
3 Ta 0.000 0.000 0.000
4 Ta 0.500 0.500 0.000

***

Q:
Entry from Alexandria via LeMat-Bulk: an optimized crystal structure of CaTa2Pt (PBE).

Computed properties:
M_tot = 0.0 μB per formula unit
D(E_F) = 6.3 states/eV/cell

a b c (Å): 4.756 4.756 4.756
angles (deg): 60.00 60.00 60.00
Element x y z (fractional)
1 Ca 0.500 0.500 0.500
2 Pt 0.750 0.750 0.750
3 Ta 0.000 0.000 0.000
4 Ta 0.250 0.250 0.250

***

Q takes first place; second place is 0.048 eV/atom up.

***

P:
Entry from Alexandria via LeMat-Bulk: an optimized crystal structure of CaTa2Pt (PBE).

Computed properties:
M_tot = 0.0 μB per formula unit
D(E_F) = 3.2 states/eV/cell

a b c (Å): 10.382 10.382 10.382
angles (deg): 16.50 16.50 16.50
Element x y z (fractional)
1 Ca 0.250 0.250 0.250
2 Pt 0.750 0.750 0.750
3 Ta 0.010 0.010 0.010
4 Ta 0.490 0.490 0.490

***

Q:
Entry from Alexandria via LeMat-Bulk: an optimized crystal structure of CaTa2Pt (PBE).

Computed properties:
M_tot = 0.0 μB per formula unit
D(E_F) = 5.3 states/eV/cell

a b c (Å): 4.696 4.696 4.696
angles (deg): 60.00 60.00 60.00
Element x y z (fractional)
1 Ca 0.000 0.000 0.000
2 Pt 0.500 0.500 0.500
3 Ta 0.250 0.250 0.250
4 Ta 0.750 0.750 0.750

***

P takes first place; second place is 0.143 eV/atom up.

***

P:
Entry from Alexandria via LeMat-Bulk: an optimized crystal structure of CaTa2Pt (PBE).

Computed properties:
M_tot = 0.0 μB per formula unit
D(E_F) = 3.3 states/eV/cell

a b c (Å): 5.462 5.462 5.896
angles (deg): 65.71 65.71 30.52
Element x y z (fractional)
1 Ca 0.534 0.534 0.400
2 Pt 0.278 0.278 0.361
3 Ta 0.964 0.964 0.943
4 Ta 0.724 0.724 0.796

***

Q:
Entry from Alexandria via LeMat-Bulk: an optimized crystal structure of CaTa2Pt (PBE).

Computed properties:
M_tot = 0.0 μB per formula unit
D(E_F) = 2.8 states/eV/cell

a b c (Å): 5.905 5.905 5.905
angles (deg): 148.11 133.71 57.32
Element x y z (fractional)
1 Ca 0.750 0.250 0.500
2 Pt 0.250 0.750 0.500
3 Ta 0.020 0.020 0.000
4 Ta 0.480 0.480 0.000

***

Q takes first place; second place is 0.048 eV/atom up.

***

P:
Entry from Alexandria via LeMat-Bulk: an optimized crystal structure of CaTa2Pt (PBE).

Computed properties:
M_tot = 0.0 μB per formula unit
D(E_F) = 3.8 states/eV/cell

a b c (Å): 3.256 4.584 5.151
angles (deg): 90.00 90.00 90.00
Element x y z (fractional)
1 Ca 0.500 0.000 0.500
2 Pt 0.000 0.500 0.500
3 Ta 0.000 0.000 0.000
4 Ta 0.500 0.500 0.000

***

Q:
Entry from Alexandria via LeMat-Bulk: an optimized crystal structure of CaTa2Pt (PBE).

Computed properties:
M_tot = 0.0 μB per formula unit
D(E_F) = 6.3 states/eV/cell

a b c (Å): 3.944 3.944 10.953
angles (deg): 79.63 79.63 90.00
Element x y z (fractional)
1 Ca 0.500 0.500 0.000
2 Ca 0.250 0.750 0.500
3 Pt 0.000 0.000 0.000
4 Pt 0.750 0.250 0.500
5 Ta 0.641 0.125 0.250
6 Ta 0.109 0.625 0.250
7 Ta 0.375 0.359 0.750
8 Ta 0.875 0.891 0.750

***

P takes first place; second place is 0.298 eV/atom up.

***

P:
Entry from Alexandria via LeMat-Bulk: an optimized crystal structure of CaTa2Pt (PBE).

Computed properties:
M_tot = 0.0 μB per formula unit
D(E_F) = 4.6 states/eV/cell

a b c (Å): 5.678 5.678 5.678
angles (deg): 139.11 139.11 59.20
Element x y z (fractional)
1 Ca 0.250 0.750 0.500
2 Pt 0.750 0.250 0.500
3 Ta 0.000 0.000 0.000
4 Ta 0.500 0.500 0.000

***

Q:
Entry from Alexandria via LeMat-Bulk: an optimized crystal structure of CaTa2Pt (PBE).

Computed properties:
M_tot = 0.0 μB per formula unit
D(E_F) = 3.9 states/eV/cell

a b c (Å): 3.032 2.997 9.240
angles (deg): 73.54 90.00 90.00
Element x y z (fractional)
1 Ca 0.000 0.456 0.529
2 Pt 0.500 0.736 0.778
3 Ta 0.000 0.058 0.979
4 Ta 0.500 0.250 0.213

***

Q takes first place; second place is 0.241 eV/atom up.

***

P:
Entry from Alexandria via LeMat-Bulk: an optimized crystal structure of CaTa2Pt (PBE).

Computed properties:
M_tot = 0.0 μB per formula unit
D(E_F) = 4.1 states/eV/cell

a b c (Å): 5.192 2.897 5.187
angles (deg): 81.22 90.00 90.00
Element x y z (fractional)
1 Ca 0.500 0.250 0.250
2 Pt 0.500 0.750 0.750
3 Ta 0.000 0.969 0.988
4 Ta 0.000 0.531 0.512

***

Q:
Entry from Alexandria via LeMat-Bulk: an optimized crystal structure of CaTa2Pt (PBE).

Computed properties:
M_tot = 0.0 μB per formula unit
D(E_F) = 4.9 states/eV/cell

a b c (Å): 2.870 2.870 9.674
angles (deg): 90.00 90.00 90.12
Element x y z (fractional)
1 Ca 0.500 0.500 0.250
2 Pt 0.500 0.500 0.750
3 Ta 0.000 0.000 0.959
4 Ta 0.000 0.000 0.541

***

R:
Entry from Alexandria via LeMat-Bulk: an optimized crystal structure of CaTa2Pt (PBE).

Computed properties:
M_tot = 0.0 μB per formula unit
D(E_F) = 4.6 states/eV/cell

a b c (Å): 4.873 4.873 3.144
angles (deg): 90.00 90.00 90.00
Element x y z (fractional)
1 Ca 0.500 0.000 0.500
2 Pt 0.000 0.500 0.500
3 Ta 0.000 0.000 0.000
4 Ta 0.500 0.500 0.000

***

P takes first place; second place is 0.045 eV/atom up.

***

P:
Entry from Alexandria via LeMat-Bulk: an optimized crystal structure of Ca3TaPt (PBE).

Computed properties:
M_tot = 0.0 μB per formula unit
D(E_F) = 5.5 states/eV/cell

a b c (Å): 5.376 5.376 5.376
angles (deg): 90.00 90.00 90.00
Element x y z (fractional)
1 Ca 0.000 0.500 0.000
2 Ca 0.000 0.000 0.500
3 Ca 0.500 0.000 0.000
4 Pt 0.500 0.500 0.500
5 Ta 0.000 0.000 0.000

***

Q:
Entry from Alexandria via LeMat-Bulk: an optimized crystal structure of Ca3TaPt (PBE).

Computed properties:
M_tot = 3.8 μB per formula unit
D(E_F) = 5.1 states/eV/cell

a b c (Å): 5.455 5.455 5.455
angles (deg): 90.00 90.00 90.00
Element x y z (fractional)
1 Ca 0.000 0.500 0.000
2 Ca 0.000 0.000 0.500
3 Ca 0.500 0.000 0.000
4 Pt 0.000 0.000 0.000
5 Ta 0.500 0.500 0.500

***

Q takes first place; second place is 0.799 eV/atom up.

***

P:
Entry from Alexandria via LeMat-Bulk: an optimized crystal structure of CaTaPt2 (PBE).

Computed properties:
M_tot = 0.0 μB per formula unit
D(E_F) = 3.8 states/eV/cell

a b c (Å): 4.641 4.641 4.641
angles (deg): 60.00 60.00 60.00
Element x y z (fractional)
1 Ca 0.500 0.500 0.500
2 Pt 0.000 0.000 0.000
3 Pt 0.250 0.250 0.250
4 Ta 0.750 0.750 0.750

***

Q:
Entry from Alexandria via LeMat-Bulk: an optimized crystal structure of CaTaPt2 (PBE).

Computed properties:
M_tot = 0.0 μB per formula unit
D(E_F) = 2.8 states/eV/cell

a b c (Å): 6.117 6.117 6.117
angles (deg): 152.56 133.86 54.52
Element x y z (fractional)
1 Ca 0.241 0.741 0.500
2 Pt 0.976 0.976 0.000
3 Pt 0.748 0.248 0.500
4 Ta 0.534 0.534 0.000

***

R:
Entry from Alexandria via LeMat-Bulk: an optimized crystal structure of CaTaPt2 (PBE).

Computed properties:
M_tot = 0.0 μB per formula unit
D(E_F) = 2.1 states/eV/cell

a b c (Å): 2.980 2.980 8.698
angles (deg): 90.00 90.00 90.00
Element x y z (fractional)
1 Ca 0.500 0.500 0.784
2 Pt 0.000 0.000 0.018
3 Pt 0.500 0.500 0.249
4 Ta 0.000 0.000 0.449

***

Q takes first place; second place is 0.291 eV/atom up.

***

P:
Entry from Alexandria via LeMat-Bulk: an optimized crystal structure of CaTaPt2 (PBE).

Computed properties:
M_tot = 0.0 μB per formula unit
D(E_F) = 3.4 states/eV/cell

a b c (Å): 3.502 3.502 6.693
angles (deg): 90.00 90.00 90.00
Element x y z (fractional)
1 Ca 0.500 0.500 0.783
2 Pt 0.000 0.000 0.030
3 Pt 0.500 0.500 0.270
4 Ta 0.000 0.000 0.417

***

Q:
Entry from Alexandria via LeMat-Bulk: an optimized crystal structure of CaTaPt2 (PBE).

Computed properties:
M_tot = 0.0 μB per formula unit
D(E_F) = 2.9 states/eV/cell

a b c (Å): 5.416 5.416 5.006
angles (deg): 79.69 79.69 30.57
Element x y z (fractional)
1 Ca 0.266 0.266 0.184
2 Pt 0.016 0.016 0.057
3 Pt 0.740 0.740 0.689
4 Ta 0.478 0.478 0.570

***

R:
Entry from Alexandria via LeMat-Bulk: an optimized crystal structure of CaTaPt2 (PBE).

Computed properties:
M_tot = 0.9 μB per formula unit
D(E_F) = 6.1 states/eV/cell

a b c (Å): 7.517 7.517 6.144
angles (deg): 52.28 52.28 90.00
Element x y z (fractional)
1 Ca 0.500 0.500 0.000
2 Ca 0.250 0.750 0.500
3 Pt 0.675 0.125 0.250
4 Pt 0.075 0.625 0.250
5 Pt 0.375 0.325 0.750
6 Pt 0.875 0.925 0.750
7 Ta 0.000 0.000 0.000
8 Ta 0.750 0.250 0.500

***

Q takes first place; second place is 0.224 eV/atom up.

***

P:
Entry from Alexandria via LeMat-Bulk: an optimized crystal structure of CaTaPt2 (PBE).

Computed properties:
M_tot = 0.0 μB per formula unit
D(E_F) = 2.9 states/eV/cell

a b c (Å): 5.319 5.319 5.319
angles (deg): 135.69 135.69 64.45
Element x y z (fractional)
1 Ca 0.750 0.250 0.500
2 Pt 0.000 0.000 0.000
3 Pt 0.250 0.750 0.500
4 Ta 0.500 0.500 0.000

***

Q:
Entry from Alexandria via LeMat-Bulk: an optimized crystal structure of CaTaPt2 (PBE).

Computed properties:
M_tot = 0.0 μB per formula unit
D(E_F) = 2.2 states/eV/cell

a b c (Å): 4.156 4.156 7.091
angles (deg): 84.19 84.19 41.34
Element x y z (fractional)
1 Ca 0.250 0.250 0.250
2 Pt 0.999 0.999 0.962
3 Pt 0.501 0.501 0.538
4 Ta 0.750 0.750 0.750

***

R:
Entry from Alexandria via LeMat-Bulk: an optimized crystal structure of CaTaPt2 (PBE).

Computed properties:
M_tot = 0.0 μB per formula unit
D(E_F) = 1.8 states/eV/cell

a b c (Å): 7.064 7.064 7.064
angles (deg): 32.30 32.30 32.30
Element x y z (fractional)
1 Ca 0.250 0.250 0.250
2 Pt 0.019 0.019 0.019
3 Pt 0.481 0.481 0.481
4 Ta 0.750 0.750 0.750

***

R takes first place; second place is 0.066 eV/atom up.